[1]
! PBE-GGA CuTe2P, relaxed; values from VASP
! Formation energy (no corrections) = 42.46 kJ/mol of atoms
! Volume = 108.2 Å³ per cell
! Symmetry = No. 47
&SYSTEM
  ibrav = 0, nat = 4, ntyp = 3
/
ATOMIC_SPECIES
P 30.97 P.upf
Cu 63.55 Cu.upf
Te 127.60 Te.upf
ATOMIC_POSITIONS crystal
P 0.000 0.500 0.500
Cu 0.500 0.000 0.500
Te 0.500 0.500 0.000
Te 0.000 0.000 0.000
CELL_PARAMETERS angstrom
-0.276 3.113 -2.077
2.131 -3.940 -6.190
-3.613 -0.807 -0.730


[2]
! PBE-GGA LaNd2HoHg4, relaxed; values from VASP
! Calculated formation energy = -0.470 eV per atom
! Volume = 224.0 Å³ per cell
! Symmetry = No. 166
&SYSTEM
  ibrav = 0, nat = 8, ntyp = 4
/
ATOMIC_SPECIES
Hg 200.59 Hg.upf
Ho 164.93 Ho.upf
Nd 144.24 Nd.upf
La 138.91 La.upf
ATOMIC_POSITIONS crystal
Hg 0.128 0.128 0.617
Hg 0.621 0.621 0.137
Hg 0.379 0.379 0.863
Ho 0.500 0.500 0.500
Hg 0.872 0.872 0.383
Nd 0.751 0.751 0.748
Nd 0.249 0.249 0.252
La 0.000 0.000 0.000
CELL_PARAMETERS angstrom
-4.147 2.025 -2.789
-4.565 1.331 2.542
0.225 9.339 1.234


[3]
! PBE-GGA CaCrNi, relaxed; values from VASP
! Calculated formation energy = 0.340 eV per atom
! Volume = 208.9 Å³ per cell
! Symmetry = No. 62
&SYSTEM
  ibrav = 0, nat = 12, ntyp = 3
/
ATOMIC_SPECIES
Ni 58.69 Ni.upf
Cr 52.00 Cr.upf
Ca 40.08 Ca.upf
ATOMIC_POSITIONS crystal
Ni 0.251 0.250 0.322
Cr 0.570 0.750 0.954
Ca 0.563 0.750 0.346
Cr 0.930 0.250 0.454
Ca 0.437 0.250 0.654
Cr 0.430 0.250 0.046
Ni 0.751 0.250 0.178
Cr 0.070 0.750 0.546
Ca 0.063 0.750 0.154
Ni 0.249 0.750 0.822
Ni 0.749 0.750 0.678
Ca 0.937 0.250 0.846
CELL_PARAMETERS angstrom
6.318 0.000 0.000
0.000 4.158 0.000
0.000 0.000 7.953


[4]
! PBE-GGA TbPmCdPb, relaxed; values from VASP
! Calculated formation energy = -0.412 eV per atom
! Volume = 111.9 Å³ per cell
! Symmetry = No. 216
&SYSTEM
  ibrav = 0, nat = 4, ntyp = 4
/
ATOMIC_SPECIES
Pm 145.00 Pm.upf
Tb 158.93 Tb.upf
Cd 112.41 Cd.upf
Pb 207.20 Pb.upf
ATOMIC_POSITIONS crystal
Pm 0.000 0.000 0.000
Tb 0.500 0.500 0.500
Cd 0.750 0.750 0.750
Pb 0.250 0.250 0.250
CELL_PARAMETERS angstrom
-1.599 -1.573 4.923
3.100 -3.344 2.910
2.572 1.831 4.393


- Look up the volume of the fourth one.
  111.9 Å³ per cell


- volume of number 3 (CaCrNi)?
  208.9 Å³ per cell